DFT (PBE) results for InSbRh2 after structural relaxation.

Cell: 3.2287 3.2287 24.2840 Å, 90.00 90.00 120.00°
Space group R-3m (No. 166, hexagonal axes)
Inequivalent atoms, fractional coordinates:
In (0.0000, 0.0000, 0.0000) x3
Sb (0.0000, 0.0000, 0.5000) x3
Rh (0.0000, 0.0000, 0.2466) x6

Output
Energy in eV per atom: -5.62
Energy relative to the elements, uncorrected in kJ/mol of formula units: -89

***

DFT (PBE) results for BaCd2SbO2 after structural relaxation.

Cell: 6.1608 6.0348 8.7263 Å, 90.00 110.34 90.00°
Space group P2_1/m (No. 11)
Inequivalent atoms, fractional coordinates:
Ba (0.2333, 0.2500, 0.0715) x2
Cd (0.1062, 0.7500, 0.6676) x2
Cd (0.1951, 0.7500, 0.3474) x2
Sb (0.3254, 0.2500, 0.6241) x2
O (0.0282, 0.0017, 0.8230) x4

Output
Energy in eV per atom: -3.89
Energy relative to the elements, uncorrected in kJ/mol of formula units: -533

***

DFT (PBE) results for CeGe2Rh4 after structural relaxation.

Cell: 7.7597 7.7597 3.8979 Å, 90.00 90.00 90.00°
Space group P4_2/mnm (No. 136)
Inequivalent atoms, fractional coordinates:
Ce (0.0000, 0.0000, 0.0000) x2
Ge (0.2263, 0.2263, 0.5000) x4
Rh (0.0775, 0.6636, 0.5000) x8

Output
Energy above the lowest structure with this stoichiometry in meV/atom: 0.0
Energy in eV per atom: -7.05
Energy relative to the elements in eV/atom: -0.679

***

DFT (PBE) results for AcGa4Ru after structural relaxation.

Cell: 4.7413 4.7413 7.1118 Å, 90.00 90.11 90.00°
Space group P2/m (No. 10)
Inequivalent atoms, fractional coordinates:
Ac (0.0000, 0.0000, 0.0000) x1
Ga (0.0000, 0.5000, 0.5000) x1
Ga (0.5000, 0.0000, 0.5000) x1
Ga (0.5003, 0.5000, 0.1626) x2
Ru (0.5000, 0.5000, 0.5000) x1

Output
Energy above the lowest structure with this stoichiometry in meV/atom: 352.8
Energy in eV per atom: -4.39
Energy relative to the elements in eV/atom: -0.142

***

DFT (PBE) results for CoRh2Cl after structural relaxation.

Cell: 2.7926 4.7518 8.7304 Å, 90.00 90.00 90.00°
Space group Immm (No. 71)
Inequivalent atoms, fractional coordinates:
Co (0.0000, 0.0000, 0.0000) x2
Rh (0.0000, 0.5000, 0.2508) x4
Cl (0.0000, 0.0000, 0.5000) x2

Output
Energy above the lowest structure with this stoichiometry in meV/atom: 289.9
Energy in eV per atom: -5.38
Energy relative to the elements, uncorrected in kJ/mol of formula units: 208

***

DFT (PBE) results for Ac3SmIr3 after structural relaxation.

Cell: 12.0313 12.0313 12.0313 Å, 90.00 90.00 90.00°
Space group I4_132 (No. 214)
Inequivalent atoms, fractional coordinates:
Ac (0.1162, 0.3750, 0.3662) x24
Sm (0.1250, 0.1250, 0.1250) x8
Ir (0.1250, 0.1252, 0.3752) x24

Output
Energy in eV per atom: -6.78
Energy relative to the elements in eV/atom: -0.550

***

DFT (PBE) results for CePuN after structural relaxation.

Cell: 6.0280 6.0280 6.0280 Å, 90.00 90.00 90.00°
Space group F-43m (No. 216)
Inequivalent atoms, fractional coordinates:
Ce (0.0000, 0.0000, 0.0000) x4
Pu (0.0000, 0.0000, 0.5000) x4
N (0.2500, 0.2500, 0.7500) x4

Output
Energy above the lowest structure with this stoichiometry in meV/atom: 436.1
Energy in eV per atom: -9.91
Energy relative to the elements, uncorrected in kJ/mol of formula units: -111

***

DFT (PBE) results for U2FeH4 after structural relaxation.

Cell: 3.2330 3.2330 13.6765 Å, 90.00 90.00 90.00°
Space group I4/mmm (No. 139)
Inequivalent atoms, fractional coordinates:
U (0.0000, 0.0000, 0.1407) x4
Fe (0.0000, 0.0000, 0.5000) x2
H (0.0000, 0.0000, 0.3074) x4
H (0.0000, 0.5000, 0.0000) x4

Output
Energy in eV per atom: -6.40

***

DFT (PBE) results for CsTl3Zn after structural relaxation.

Cell: 5.6788 5.6788 5.6788 Å, 90.00 90.00 90.00°
Space group Pm-3m (No. 221)
Inequivalent atoms, fractional coordinates:
Cs (0.0000, 0.0000, 0.0000) x1
Tl (0.0000, 0.5000, 0.5000) x3
Zn (0.5000, 0.5000, 0.5000) x1

Output
Energy above the lowest structure with this stoichiometry in meV/atom: 148.4
Energy in eV per atom: -1.75
Energy relative to the elements in eV/atom: 0.100

***

DFT (PBE) results for Nd7YSc3 after structural relaxation.

Cell: 5.8523 10.8107 11.4020 Å, 90.00 90.00 90.00°
Space group Immm (No. 71)
Inequivalent atoms, fractional coordinates:
Nd (0.0000, 0.0000, 0.0000) x2
Nd (0.0000, 0.1951, 0.5000) x4
Nd (0.0000, 0.3116, 0.2096) x8
Y (0.0000, 0.5000, 0.5000) x2
Sc (0.0000, 0.0000, 0.2882) x4
Sc (0.0000, 0.5000, 0.0000) x2

Output
Energy in eV per atom: -5.11
Energy relative to the elements in eV/atom: 0.235

***

DFT (PBE) results for AsAuSe2F after structural relaxation.

Cell: 5.1350 5.1350 5.0021 Å, 90.00 90.00 90.00°
Space group P4/mmm (No. 123)
Inequivalent atoms, fractional coordinates:
As (0.0000, 0.0000, 0.0000) x1
Au (0.0000, 0.0000, 0.5000) x1
Se (0.0000, 0.5000, 0.5000) x2
F (0.5000, 0.5000, 0.0000) x1

Output
Energy above the lowest structure with this stoichiometry in meV/atom: 115.0
Energy in eV per atom: -2.74
Energy relative to the elements, uncorrected in kJ/mol of formula units: 298

***

Number 1: density of states at the Fermi level 1.42 states/eV/f.u.. Number 2: density of states at the Fermi level 3.28 states/eV/f.u.. Number 3: density of states at the Fermi level 7.95 states/eV/f.u.. Number 4: density of states at the Fermi level 3.95 states/eV/f.u.. Number 5: density of states at the Fermi level 6.68 states/eV/f.u.. Number 6: density of states at the Fermi level 3.29 states/eV/f.u.. Number 7: density of states at the Fermi level 6.79 states/eV/f.u.. Number 8: density of states at the Fermi level 7.10 states/eV/f.u.. Number 9: density of states at the Fermi level 3.27 states/eV/f.u.. Number 10: density of states at the Fermi level 15.12 states/eV/f.u.. Number 11: density of states at the Fermi level 6.83 states/eV/f.u..